Here is a relaxed structure of MnCr2B2 from Alexandria via LeMat-Bulk. Energies are from PBE-GGA.

Cell and atoms, written as POSCAR:
```
MnCr2B2
1.0
-0.0696 -3.2152 4.4956
-0.3982 -4.4813 -3.2112
2.8719 -0.1898 -0.0913
Mn B Cr
2 4 4
direct
0.5000 0.5000 0.0000
0.0000 0.0000 0.0000
0.6161 0.1161 0.0000
0.3839 0.8839 0.0000
0.8839 0.6161 0.0000
0.1161 0.3839 0.0000
0.8255 0.3255 0.5000
0.3255 0.1745 0.5000
0.1745 0.6745 0.5000
0.6745 0.8255 0.5000
```

Values from the calculation:
**DFT formation energy**: -436 meV per atom
**Offset from the most stable computed form**: 0 meV per atom
**SG**: P4/mbm (127)
**Density of states at the Fermi level**: 7.89 states/eV per cell
**V**: 8.80 Å³/atom